[1]
Density functional theory data (GGA-PBE) for a relaxed structure of ScCrNi.

Output
Energy: -21.438 eV/f.u.
SG: I4mm
Polymorph energy (0 for the lowest one): 6 meV/atom

```
ScCrNi
1.0
-1.426 1.426 5.385
1.426 -1.426 5.385
1.426 1.426 -5.385
Sc Cr Ni
1 1 1
Direct
0.000 0.000 0.000
0.313 0.313 0.000
0.691 0.691 0.000
```

[2]
Density functional theory data (GGA-PBE) for a relaxed structure of AlInS2.

Output
Energy: -17.866 eV/f.u.
SG: Ima2
Formation energy (no corrections): -782 meV per atom

```
AlInS2
1.0
-3.450 4.598 3.088
3.450 -4.598 3.088
3.450 4.598 -3.088
Al In S
2 2 4
Direct
0.130 0.250 0.380
0.870 0.750 0.620
0.398 0.806 0.092
0.714 0.306 0.908
0.221 0.112 0.609
0.503 0.612 0.391
0.853 0.353 0.500
0.853 0.853 0.000
```

[3]
Density functional theory data (GGA-PBE) for a relaxed structure of Cr2CoAs.

Output
Energy: -30.161 eV/f.u.
SG: P4/mmm

```
Cr2CoAs
1.0
2.790 0.000 0.000
0.000 2.790 0.000
0.000 0.000 6.200
Cr Co As
2 1 1
Direct
0.000 0.000 0.247
0.000 0.000 0.753
0.500 0.500 0.500
0.500 0.500 0.000
```

[4]
Density functional theory data (GGA-PBE) for a relaxed structure of Nd5Dy5Y2.

Output
Energy: -59.575 eV/f.u.
SG: C2/m

```
Nd5Dy5Y2
1.0
7.660 -2.547 0.000
7.660 2.547 0.000
-5.107 0.000 10.192
Nd Dy Y
5 5 2
Direct
0.000 0.000 0.000
0.083 0.083 0.750
0.249 0.249 0.250
0.751 0.751 0.750
0.917 0.917 0.250
0.333 0.333 0.000
0.416 0.416 0.749
0.500 0.500 0.500
0.584 0.584 0.251
0.667 0.667 0.000
0.166 0.166 0.499
0.834 0.834 0.501
```